10
Lattice="5.681 -3.170 0.000 5.681 3.170 0.000 -1.536 0.000 8.355" Properties=species:S:1:pos:R:3 comment="Ba2Ge2Au (PBE, optimized geometry)" formation_energy_ev_per_atom=-0.529 relative_energy_mev_per_atom=0 dft_energy_ev_per_cell=-38.01 crystal_system=monoclinic total_magnetization_mub_per_fu=0.00 pbc="T T T"
Ba 1.502 0.662 1.311
Ba 0.734 -0.662 5.489
Ba 9.093 0.662 2.866
Ba 8.325 -0.662 7.044
Ge 3.680 0.705 4.156
Ge 6.915 0.705 0.022
Ge 2.913 -0.705 8.333
Ge 6.147 -0.705 4.199
Au 5.297 0.657 2.089
Au 4.530 -0.657 6.266